Entry from Alexandria via LeMat-Bulk: crystalline PrHo7Er12 at its relaxed geometry (GGA-PBE).

Structure (extended XYZ):
```
20
Lattice="9.141 0.000 -3.232 -4.571 7.916 -3.232 0.000 0.000 9.696" Properties=species:S:1:pos:R:3 pbc="T T T"
Er 6.790 0.009 0.093
Er -1.168 2.041 6.370
Er 3.524 2.041 -0.008
Er -2.219 7.907 3.138
Er 4.576 3.844 3.224
Er -1.041 5.885 -3.224
Er 3.387 5.885 -0.093
Er 1.046 5.875 3.240
Er 5.738 5.875 -3.138
Er 5.611 2.032 6.456
Er -0.005 4.073 0.008
Er 1.184 2.032 3.325
Ho 2.285 3.958 1.616
Ho -2.285 3.958 -1.616
Ho 4.571 0.000 3.232
Ho 4.571 0.000 -1.616
Ho 2.285 3.958 -3.232
Ho -2.285 3.958 3.232
Ho 0.000 0.000 4.848
Pr 0.000 0.000 0.000
```

SG: Im-3 (204)
E_form (eV/atom): 0.72